! Tb4DyMg5 PBE optimized geometry; values from VASP
! Total magnetization   0.00 Bohr magnetons per cell
! V   273.56 Å³/cell
! Density of states at the Fermi level   14.22 states/eV/cell
! Formation enthalpy at 0 K   -0.08 eV/atom
&SYSTEM
  ibrav = 0, nat = 10, ntyp = 3
/
ATOMIC_SPECIES
Mg 24.30 Mg.upf
Tb 158.93 Tb.upf
Dy 162.50 Dy.upf
CELL_PARAMETERS angstrom
-0.112 3.702 -0.841
-2.377 0.587 2.903
14.782 3.056 11.486
ATOMIC_POSITIONS angstrom
Mg 3.188 3.061 4.475
Mg 9.105 4.284 9.073
Mg 6.146 3.673 6.774
Mg 0.224 2.448 2.172
Mg 12.069 4.897 11.376
Tb 5.911 1.222 4.593
Tb 11.830 2.446 9.192
Tb 2.951 0.610 2.293
Tb 8.871 1.834 6.893
Dy 0.000 0.000 0.000

! Tb2DyMg4 PBE optimized geometry; values from VASP
! Distance to the lowest polymorph of the same formula   0.0 meV/atom
! Total magnetization   0.34 Bohr magnetons per cell
! V   209.38 Å³/cell
! Density of states at the Fermi level   5.97 states/eV/cell
! Formation enthalpy at 0 K   0.14 eV/atom
&SYSTEM
  ibrav = 0, nat = 7, ntyp = 3
/
ATOMIC_SPECIES
Mg 24.30 Mg.upf
Tb 158.93 Tb.upf
Dy 162.50 Dy.upf
CELL_PARAMETERS angstrom
5.126 0.000 -1.634
-0.521 5.099 -1.634
-0.220 -0.244 8.167
ATOMIC_POSITIONS angstrom
Mg 4.159 1.767 4.190
Mg 0.226 3.088 0.709
Mg 1.336 4.317 4.190
Mg 3.049 0.539 0.709
Tb 1.043 1.155 3.272
Tb 3.342 3.701 1.626
Dy 0.000 0.000 0.000

! TbDy2Mg8 PBE optimized geometry; values from VASP
! Total magnetization   0.00 Bohr magnetons per cell
! V   278.85 Å³/cell
! Density of states at the Fermi level   6.02 states/eV/cell
! Formation enthalpy at 0 K   -0.04 eV/atom
&SYSTEM
  ibrav = 0, nat = 11, ntyp = 3
/
ATOMIC_SPECIES
Mg 24.30 Mg.upf
Dy 162.50 Dy.upf
Tb 158.93 Tb.upf
CELL_PARAMETERS angstrom
-2.893 3.528 2.130
-4.458 -0.154 -5.799
0.226 -7.062 6.052
ATOMIC_POSITIONS angstrom
Mg -2.282 -4.400 4.187
Mg -5.569 -3.357 3.948
Mg -3.196 -3.500 1.456
Mg -1.555 -0.331 -1.564
Mg -3.928 -0.188 0.928
Mg -0.928 -1.519 1.256
Mg -4.842 0.712 -1.803
Mg -6.196 -2.169 1.129
Dy -2.998 -1.215 3.892
Dy -4.126 -2.472 -1.508
Tb -1.446 1.764 1.065